[1]
Compound: DyScTlZn
Source: Alexandria
Functional: PBE-GGA
Structure: optimized geometry

## Properties
Theoretical density in g/cm³: 8.53
SG: F-43m
Formation energy in eV/f.u.: -1.213
Excess energy over the best structure of this formula in the dataset in kJ/mol of formula units: 12
Total DFT energy (no corrections) in eV for the cell shown: -15.8
Crystal system: cubic

```
DyScTlZn
1.0
0.000 3.595 3.595
3.595 0.000 3.595
3.595 3.595 0.000
Dy Sc Tl Zn
1 1 1 1
Cartesian
0.000 0.000 0.000
3.595 3.595 3.595
5.393 5.393 5.393
1.798 1.798 1.798
```



[2]
Compound: Dy5TmSc3
Source: Alexandria
Functional: PBE-GGA
Structure: optimized geometry

## Properties
Theoretical density in g/cm³: 6.25
SG: C2/m
Formation energy in eV/f.u.: 4.332
Total DFT energy (no corrections) in eV for the cell shown: -84.3
Crystal system: monoclinic

```
Dy5TmSc3
1.0
7.271 -5.564 0.000
7.271 5.564 0.000
-6.041 0.000 7.328
Dy Tm Sc
10 2 6
Cartesian
3.672 2.813 1.906
1.796 0.000 1.729
7.271 2.841 0.000
-1.736 0.000 7.098
4.829 2.813 5.421
3.672 -2.813 1.906
10.237 0.000 0.229
7.271 -2.841 0.000
6.705 0.000 5.598
4.829 -2.813 5.421
-0.036 0.000 4.383
8.538 0.000 2.945
-3.020 0.000 3.664
-4.776 0.000 6.018
3.125 0.000 4.655
7.271 0.000 0.000
5.377 0.000 2.673
13.278 0.000 1.309
```



[3]
Compound: DyTmSc2
Source: Alexandria
Functional: PBE-GGA
Structure: optimized geometry

## Properties
Theoretical density in g/cm³: 6.36
SG: P4/mmm
Formation energy in eV/f.u.: 0.211
Excess energy over the best structure of this formula in the dataset in kJ/mol of formula units: 4
Total DFT energy (no corrections) in eV for the cell shown: -21.5
Crystal system: tetragonal

```
DyTmSc2
1.0
4.843 0.000 0.000
0.000 4.843 0.000
0.000 0.000 4.688
Dy Tm Sc
1 1 2
Cartesian
0.000 0.000 0.000
2.421 2.421 0.000
0.000 2.421 2.344
2.421 0.000 2.344
```



[4]
Compound: Dy3Tm6Sc
Source: Alexandria
Functional: PBE-GGA
Structure: optimized geometry

## Properties
Theoretical density in g/cm³: 8.41
SG: Cmc2_1
Formation energy in eV/f.u.: 1.453
Excess energy over the best structure of this formula in the dataset in kJ/mol of formula units: 108
Total DFT energy (no corrections) in eV for the cell shown: -91.0
Crystal system: orthorhombic

```
Dy3Tm6Sc
1.0
5.393 -9.318 0.000
5.393 9.318 0.000
0.000 0.000 6.077
Dy Tm Sc
6 12 2
Cartesian
5.393 7.262 3.039
3.592 2.057 0.679
3.592 -2.057 3.717
7.195 2.057 0.679
7.195 -2.057 3.717
5.393 -7.262 0.000
2.704 3.921 4.276
1.771 0.876 3.230
1.771 -0.876 0.192
5.393 5.246 5.656
5.393 0.933 3.879
2.704 -3.921 1.237
8.082 3.921 4.276
5.393 -0.933 0.841
5.393 -5.246 2.617
9.016 0.876 3.230
9.016 -0.876 0.192
8.082 -3.921 1.237
5.393 3.895 2.579
5.393 -3.895 5.617
```



[5]
Compound: DyTm2Sc2
Source: Alexandria
Functional: PBE-GGA
Structure: optimized geometry

## Properties
Theoretical density in g/cm³: 6.89
SG: P4/mbm
Formation energy in eV/f.u.: 0.369
Excess energy over the best structure of this formula in the dataset in kJ/mol of formula units: 15
Total DFT energy (no corrections) in eV for the cell shown: -51.7
Crystal system: tetragonal

```
DyTm2Sc2
1.0
8.989 0.000 0.000
0.000 8.989 0.000
0.000 0.000 3.521
Dy Tm Sc
2 4 4
Cartesian
0.000 0.000 0.000
4.495 4.495 0.000
1.574 2.921 1.760
2.921 7.416 1.760
6.068 1.574 1.760
7.416 6.068 1.760
1.086 5.580 0.000
3.409 1.086 0.000
5.580 7.904 0.000
7.904 3.409 0.000
```



[6]
Compound: Dy7Tm4Sc
Source: Alexandria
Functional: PBE-GGA
Structure: optimized geometry

## Properties
Theoretical density in g/cm³: 8.49
SG: P-3m1
Formation energy in eV/f.u.: 1.001
Excess energy over the best structure of this formula in the dataset in kJ/mol of formula units: 0
Total DFT energy (no corrections) in eV for the cell shown: -55.4
Crystal system: trigonal

```
Dy7Tm4Sc
1.0
5.522 0.000 0.000
-2.761 4.782 0.000
0.000 0.000 13.754
Dy Tm Sc
7 4 1
Cartesian
0.000 0.000 0.000
0.000 0.000 3.464
0.000 0.000 10.290
0.000 3.188 1.747
0.000 3.188 5.214
2.761 1.594 8.540
2.761 1.594 12.007
0.000 3.188 8.548
0.000 3.188 12.033
2.761 1.594 1.720
2.761 1.594 5.205
0.000 0.000 6.877
```



[7]
Compound: Dy7Tm2Sc3
Source: Alexandria
Functional: PBE-GGA
Structure: optimized geometry

## Properties
Theoretical density in g/cm³: 7.40
SG: Cmmm
Formation energy in eV/f.u.: 1.849
Total DFT energy (no corrections) in eV for the cell shown: -58.3
Crystal system: orthorhombic

```
Dy7Tm2Sc3
1.0
2.829 -18.223 0.000
2.829 18.223 0.000
0.000 0.000 3.506
Dy Tm Sc
7 2 3
Cartesian
0.000 0.000 0.000
2.829 14.883 1.753
2.829 8.336 0.000
2.829 2.608 0.000
2.829 -2.608 0.000
2.829 -8.336 0.000
2.829 -14.883 1.753
2.829 11.814 0.000
2.829 -11.814 0.000
2.829 5.464 1.753
2.829 0.000 1.753
2.829 -5.464 1.753
```



[8]
Compound: DyTm6Sc
Source: Alexandria
Functional: PBE-GGA
Structure: optimized geometry

## Properties
Theoretical density in g/cm³: 8.38
SG: P-1
Formation energy in eV/f.u.: 1.706
Excess energy over the best structure of this formula in the dataset in kJ/mol of formula units: 0
Total DFT energy (no corrections) in eV for the cell shown: -36.1
Crystal system: triclinic

```
DyTm6Sc
1.0
6.401 0.000 0.000
-0.244 6.651 0.000
-1.428 -3.244 5.685
Dy Tm Sc
1 6 1
Cartesian
0.000 0.000 0.000
0.687 2.272 2.787
1.472 3.716 0.019
0.967 -1.097 3.020
3.761 4.504 2.665
3.257 -0.309 5.666
4.042 1.136 2.898
3.201 0.000 0.000
```



Copy entry 4 word for word.
Compound: Dy3Tm6Sc
Source: Alexandria
Functional: PBE-GGA
Structure: optimized geometry

## Properties
Theoretical density in g/cm³: 8.41
SG: Cmc2_1
Formation energy in eV/f.u.: 1.453
Excess energy over the best structure of this formula in the dataset in kJ/mol of formula units: 108
Total DFT energy (no corrections) in eV for the cell shown: -91.0
Crystal system: orthorhombic

```
Dy3Tm6Sc
1.0
5.393 -9.318 0.000
5.393 9.318 0.000
0.000 0.000 6.077
Dy Tm Sc
6 12 2
Cartesian
5.393 7.262 3.039
3.592 2.057 0.679
3.592 -2.057 3.717
7.195 2.057 0.679
7.195 -2.057 3.717
5.393 -7.262 0.000
2.704 3.921 4.276
1.771 0.876 3.230
1.771 -0.876 0.192
5.393 5.246 5.656
5.393 0.933 3.879
2.704 -3.921 1.237
8.082 3.921 4.276
5.393 -0.933 0.841
5.393 -5.246 2.617
9.016 0.876 3.230
9.016 -0.876 0.192
8.082 -3.921 1.237
5.393 3.895 2.579
5.393 -3.895 5.617
```



Look up the theoretical density of the second one. 6.25 g/cm³